DFT (PBE-GGA) results for a geometry-optimized CoOs2 structure.

- ΔE to the lowest computed polymorph: 0.0000 eV/atom
- ΔH_f (0 K): 0.04 eV per atom
- Total energy: -9.814 eV per atom
- Density: 18.527 Mg/m³

The structure in extended XYZ format:
```
6
Lattice="-0.1319 6.6094 -2.4557 -1.9703 -5.5916 3.8189 2.5875 1.2010 3.0934" Properties=species:S:1:pos:R:3 pbc="T T T"
Co 0.3408 1.7610 1.8932
Co -1.3536 -1.4984 1.7139
Os 0.9577 5.8550 -0.2122
Os -0.7500 2.5073 -0.3461
Os -0.1320 6.6087 -2.4553
Os -0.2627 -2.2447 3.9532
```